[1]
Here is Ca2TaNi after structural relaxation from Alexandria via LeMat-Bulk. Energies are from PBE.

Values from the calculation:
**ΔH_f (0 K)**: 794 meV/atom
**Volume**: 22.978 A^3/atom
**ΔE to the lowest computed polymorph**: 607 meV per atom

```
data_Ca2TaNi
_cell_length_a 5.4055
_cell_length_b 5.4055
_cell_length_c 3.1457
_cell_angle_alpha 90.00
_cell_angle_beta 90.00
_cell_angle_gamma 90.00
_space_group_name_H-M_alt 'P 4/m m m'
_space_group_IT_number 123
_space_group_name_Hall '-P 4 2'
loop_
_atom_site_label
_atom_site_type_symbol
_atom_site_fract_x
_atom_site_fract_y
_atom_site_fract_z
Ca1 Ca 0.0000 0.5000 0.0000
Ta1 Ta 0.0000 0.0000 0.5000
Ni1 Ni 0.5000 0.5000 0.5000
```

[2]
Here is CaTaNi2 after structural relaxation from Alexandria via LeMat-Bulk. Energies are from PBE.

Values from the calculation:
**ΔH_f (0 K)**: -4 meV/atom
**Volume**: 19.467 A^3/atom
**ΔE to the lowest computed polymorph**: 136 meV per atom

```
data_CaTaNi2
_cell_length_a 4.2400
_cell_length_b 4.2400
_cell_length_c 15.0048
_cell_angle_alpha 90.00
_cell_angle_beta 90.00
_cell_angle_gamma 120.00
_space_group_name_H-M_alt 'R -3 m'
_space_group_IT_number 166
_space_group_name_Hall '-R 3 2"'
loop_
_atom_site_label
_atom_site_type_symbol
_atom_site_fract_x
_atom_site_fract_y
_atom_site_fract_z
Ca1 Ca 0.0000 0.0000 0.0000
Ta1 Ta 0.0000 0.0000 0.5000
Ni1 Ni 0.0000 0.0000 0.1972
```

[3]
Here is CaTaNi2 after structural relaxation from Alexandria via LeMat-Bulk. Energies are from PBE.

Values from the calculation:
**ΔH_f (0 K)**: -141 meV/atom
**Volume**: 17.449 A^3/atom
**ΔE to the lowest computed polymorph**: 0 meV per atom

```
data_CaTaNi2
_cell_length_a 3.1671
_cell_length_b 3.2031
_cell_length_c 6.8802
_cell_angle_alpha 90.00
_cell_angle_beta 90.00
_cell_angle_gamma 90.00
_space_group_name_H-M_alt 'P m m m'
_space_group_IT_number 47
loop_
_space_group_symop_operation_xyz
'x,y,z'
'-x,-y,-z'
'-x,-y,z'
'x,y,-z'
'x,-y,-z'
'-x,y,z'
'-x,y,-z'
'x,-y,z'
loop_
_atom_site_label
_atom_site_type_symbol
_atom_site_fract_x
_atom_site_fract_y
_atom_site_fract_z
Ca1 Ca 0.0000 0.0000 0.0000
Ta1 Ta 0.0000 0.0000 0.5000
Ni1 Ni 0.5000 0.5000 0.3142
```